Record 1
## NaGa4Pd4 (GGA-PBE)

Data for an optimized crystal structure of NaGa4Pd4.

Cell: 8.411 8.411 4.948 Å, 90.00 90.00 90.00°
Space group P4_2/n (No. 86, origin choice 2)
One atom of each set of equivalent atoms:
Na 0.250 0.250 0.250 x2
Ga 0.060 0.906 0.182 x8
Pd 0.116 0.869 0.671 x8

Computed properties:
DFT formation energy in eV per atom: -0.460
DFT total energy in eV/atom: -4.260
Spin magnetization in μB per atom: 0.00

=====

Record 2
## Na2GaPd2 (GGA-PBE)

Data for an optimized crystal structure of Na2GaPd2.

Cell: 6.403 6.403 4.895 Å, 90.00 90.00 90.00°
Space group P4/mbm (No. 127)
One atom of each set of equivalent atoms:
Na 0.169 0.331 0.000 x4
Ga 0.000 0.000 0.500 x2
Pd 0.147 0.647 0.500 x4

Computed properties:
DFT formation energy in eV per atom: -0.349
DFT total energy in eV/atom: -3.559
Spin magnetization in μB per atom: 0.00